Entry 1:
Here is crystalline TbSm7Er2 at its relaxed geometry from the Alexandria database. Energies are from PBE.

Results
Formation enthalpy at 0 K (eV per atom): 0.0498
Size of the total moment (μB/f.u.): 0.0
V (Å³/atom): 33.06
E above lowest polymorph (meV/atom): 0
Space group: C2/m (12)

abc: 9.5820 9.5820 7.0672
angles: 111.60 111.60 33.50
With the nearest neighbours (Å) after each atom.
Positions (direct):
Tb (0.0000, 0.0000, 0.0000)  12 Sm 3.37-3.76
Sm (0.0000, 0.0000, 0.5000)  2 Er 3.38, 2 Tb 3.53, 8 Sm 3.76
Sm (0.1989, 0.1989, 0.1990)  4 Er 3.25-3.53, 1 Tb 3.37, 4 Sm 3.61-3.62
Sm (0.3910, 0.3910, 0.1408)  8 Sm 3.53-3.76, 3 Er 3.62-3.69, 2 Tb 3.76
Sm (0.3912, 0.3912, 0.6408)  8 Sm 3.53-3.76, 3 Er 3.62-3.70, 2 Tb 3.76
Sm (0.6088, 0.6088, 0.3592)  8 Sm 3.53-3.76, 3 Er 3.62-3.70, 2 Tb 3.76
Sm (0.6090, 0.6090, 0.8592)  8 Sm 3.53-3.76, 3 Er 3.62-3.69, 2 Tb 3.76
Sm (0.8011, 0.8011, 0.8010)  4 Er 3.25-3.53, 1 Tb 3.37, 4 Sm 3.61-3.62
Er (0.1995, 0.1995, 0.6995)  9 Sm 3.25-3.62
Er (0.8005, 0.8005, 0.3005)  9 Sm 3.25-3.62

=====

Entry 2:
Here is crystalline Na3Ac2CdO6 at its relaxed geometry from the Alexandria database. Energies are from PBE.

Results
Size of the total moment (μB/f.u.): 1.1
V (Å³/atom): 16.44
Space group: C2/m (12)
VASP energy (eV per atom): -5.552

abc: 6.3479 6.3479 6.0254
angles: 98.93 98.93 121.10
With the nearest neighbours (Å) after each atom.
Positions (direct):
Na (0.0000, 0.0000, 0.0000)  6 O 2.58-2.62
Na (0.3559, 0.6441, 0.0000)  4 O 2.47-2.54
Na (0.6441, 0.3559, 0.0000)  4 O 2.47-2.54
Ac (0.1668, 0.8332, 0.5000)  6 O 2.45-2.53
Ac (0.8332, 0.1668, 0.5000)  6 O 2.45-2.53
Cd (0.5000, 0.5000, 0.5000)  6 O 2.40-2.45
O (0.1004, 0.4236, 0.2707)  1 Cd 2.45, 2 Ac 2.45-2.53, 2 Na 2.54-2.62
O (0.2465, 0.2465, 0.7275)  1 Cd 2.40, 3 Na 2.47-2.58, 2 Ac 2.51
O (0.4236, 0.1004, 0.2707)  1 Cd 2.45, 2 Ac 2.45-2.53, 2 Na 2.54-2.62
O (0.5764, 0.8996, 0.7293)  1 Cd 2.45, 2 Ac 2.45-2.53, 2 Na 2.54-2.62
O (0.7535, 0.7535, 0.2725)  1 Cd 2.40, 3 Na 2.47-2.58, 2 Ac 2.51
O (0.8996, 0.5764, 0.7293)  1 Cd 2.45, 2 Ac 2.45-2.53, 2 Na 2.54-2.62

=====

Entry 3:
Here is crystalline Ag2Pb at its relaxed geometry from the Alexandria database. Energies are from PBE.

Results
Formation enthalpy at 0 K (eV per atom): 0.1213
Size of the total moment (μB/f.u.): 0.0
V (Å³/atom): 22.22
Space group: C2/m (12)

abc: 8.0445 5.2798 3.2054
angles: 90.00 101.75 90.00
With the nearest neighbours (Å) after each atom.
Positions (direct):
Ag (0.1592, 0.0000, 0.3597)  6 Ag 2.88-3.21, 4 Pb 3.06-3.18
Ag (0.3408, 0.5000, 0.6403)  6 Ag 2.88-3.21, 4 Pb 3.06-3.18
Ag (0.6592, 0.5000, 0.3597)  6 Ag 2.88-3.21, 4 Pb 3.06-3.18
Ag (0.8408, 0.0000, 0.6403)  6 Ag 2.88-3.21, 4 Pb 3.06-3.18
Pb (0.0000, 0.5000, 0.0000)  8 Ag 3.06-3.18, 2 Pb 3.21
Pb (0.5000, 0.0000, 0.0000)  8 Ag 3.06-3.18, 2 Pb 3.21

=====

Entry 4:
Here is crystalline K3PuP2O8 at its relaxed geometry from the Alexandria database. Energies are from PBE.

Results
Size of the total moment (μB/f.u.): 5.0
V (Å³/atom): 16.36
Space group: P-3m1 (164)
VASP energy (eV per atom): -7.293

abc: 5.8081 5.8081 7.8418
angles: 90.00 90.00 120.00
With the nearest neighbours (Å) after each atom.
Positions (direct):
K (0.0000, 0.0000, 0.0000)  12 O 3.16-3.38
K (0.3333, 0.6667, 0.7313)  1 O 2.56
K (0.6667, 0.3333, 0.2687)  1 O 2.56
Pu (0.0000, 0.0000, 0.5000)  6 O 2.34
P (0.3333, 0.6667, 0.2510)  4 O 1.52-1.57
P (0.6667, 0.3333, 0.7490)  4 O 1.52-1.57
O (0.1874, 0.3748, 0.3232)  1 P 1.57
O (0.1874, 0.8126, 0.3232)  1 P 1.57
O (0.3333, 0.6667, 0.0577)  1 P 1.52
O (0.3748, 0.1874, 0.6768)  1 P 1.57
O (0.6252, 0.8126, 0.3232)  1 P 1.57
O (0.6667, 0.3333, 0.9423)  1 P 1.52
O (0.8126, 0.1874, 0.6768)  1 P 1.57
O (0.8126, 0.6252, 0.6768)  1 P 1.57